No. 1
RbNaGa2Br (PBE-GGA, relaxed); SG = P4/mmm; E_form (uncorrected) = 0.122 kcal/mol of atoms; theoretical density = 2.5 g/cm3
1.0
5.927 0.000 0.000
0.000 6.267 0.000
0.000 0.000 5.927
Na Ga Br Rb
1 2 1 1
Direct
0.500 0.500 0.500
0.000 0.000 0.500
0.500 0.000 0.000
0.000 0.000 0.000
0.000 0.500 0.000


No. 2
Na2GaSBr (PBE-GGA, relaxed); SG = P4/mmm; E_form (uncorrected) = -17.785 kcal/mol of atoms; theoretical density = 2.5 g/cm3
1.0
-2.120 2.666 -4.007
3.538 -2.406 -3.473
-3.429 -3.908 -0.786
Na S Ga Br
2 1 1 1
Direct
0.000 0.000 0.500
0.500 0.000 0.000
0.000 0.000 0.000
0.000 0.500 0.000
0.500 0.500 0.500


> What is the theoretical density in the first record?

2.5 g/cm3